[1]
Material: Ni4PH
Method: DFT, PBE
State: optimized geometry

Results
Volume (A^3/atom): 9.84
E above lowest polymorph (meV per atom): 40
Calculated total energy (hartree per atom): -0.2033

a = 6.091 Å, b = 6.091 Å, c = 4.648 Å
α = 109.65°, β = 109.65°, γ = 116.78°
Fractional positions:
Ni1 0.066 0.644 0.844
Ni2 0.207 0.300 0.672
Ni3 0.300 0.207 0.172
Ni4 0.356 0.934 0.656
Ni5 0.644 0.066 0.344
Ni6 0.700 0.793 0.828
Ni7 0.793 0.700 0.328
Ni8 0.934 0.356 0.156
P1 0.371 0.629 0.250
P2 0.629 0.371 0.750
H1 0.018 0.982 0.250
H2 0.982 0.018 0.750

---

[2]
Material: NiP3H
Method: DFT, PBE
State: optimized geometry

Results
Volume (A^3/atom): 14.31
E above lowest polymorph (meV per atom): 0
Calculated total energy (hartree per atom): -0.1815

a = 6.698 Å, b = 3.102 Å, c = 6.960 Å
α = 90.00°, β = 98.20°, γ = 90.00°
Fractional positions:
Ni1 0.000 0.000 0.000
Ni2 0.499 0.500 0.499
P1 0.161 0.500 0.505
P2 0.185 0.000 0.769
P3 0.462 0.500 0.811
P4 0.662 0.000 0.004
P5 0.685 0.500 0.269
P6 0.961 0.000 0.311
H1 0.066 0.500 0.027
H2 0.565 0.000 0.526

---

[3]
Material: Ni8P2H
Method: DFT, PBE
State: optimized geometry

Results
Volume (A^3/atom): 10.40
Calculated total energy (hartree per atom): -0.2104

a = 3.720 Å, b = 5.004 Å, c = 6.667 Å
α = 105.62°, β = 106.15°, γ = 90.22°
Fractional positions:
Ni1 0.000 0.000 0.000
Ni2 0.066 0.523 0.140
Ni3 0.257 0.432 0.511
Ni4 0.342 0.943 0.682
Ni5 0.460 0.613 0.922
Ni6 0.627 0.200 0.253
Ni7 0.693 0.754 0.386
Ni8 0.863 0.257 0.721
P1 0.169 0.984 0.340
P2 0.848 0.671 0.704
H1 0.235 0.285 0.956

---

[4]
Material: Ni7P2H
Method: DFT, PBE
State: optimized geometry

Results
Volume (A^3/atom): 11.07
Calculated total energy (hartree per atom): -0.2045

a = 8.252 Å, b = 8.252 Å, c = 8.252 Å
α = 153.63°, β = 153.63°, γ = 37.64°
Fractional positions:
Ni1 0.000 0.000 0.000
Ni2 0.088 0.588 0.500
Ni3 0.250 0.750 0.500
Ni4 0.412 0.912 0.500
Ni5 0.588 0.088 0.500
Ni6 0.750 0.250 0.500
Ni7 0.912 0.412 0.500
P1 0.165 0.165 0.000
P2 0.835 0.835 0.000
H1 0.500 0.500 0.000